VASP calculation (PBE) on a relaxed structure of NaLiCo3.

The structure in POSCAR format:
```
NaLiCo3
1.0
4.5232 0.0000 0.0000
0.0000 4.5232 0.0000
0.0000 0.0000 4.5232
Na Co Li
1 3 1
direct
0.0000 0.0000 0.0000
0.0000 0.5000 0.0000
0.0000 0.0000 0.5000
0.5000 0.0000 0.0000
0.5000 0.5000 0.5000
```

Computed properties:
E_form, kJ/mol of formula units: 884.0
E_tot, eV per atom: -3.078
DOS(E_F), states/eV/cell: 21.72
Distance to the lowest polymorph of the same formula, meV/atom: 677
Space group: Pm-3m, No. 221

***

VASP calculation (PBE) on a relaxed structure of Na3LiCo.

The structure in POSCAR format:
```
Na3LiCo
1.0
5.4052 0.0000 0.0000
0.0000 5.4052 0.0000
0.0000 0.0000 5.4052
Na Co Li
3 1 1
direct
0.0000 0.5000 0.0000
0.0000 0.0000 0.5000
0.5000 0.0000 0.0000
0.0000 0.0000 0.0000
0.5000 0.5000 0.5000
```

Computed properties:
E_form, kJ/mol of formula units: 375.9
E_tot, eV per atom: -1.816
DOS(E_F), states/eV/cell: 15.88
Distance to the lowest polymorph of the same formula, meV/atom: 0
Space group: Pm-3m, No. 221

***

VASP calculation (PBE) on a relaxed structure of NaLi2Co.

The structure in POSCAR format:
```
NaLi2Co
1.0
-2.8437 1.6187 -2.3418
1.3664 -2.1277 -3.1300
-6.7248 -7.4625 -0.4493
Na Co Li
2 2 4
direct
0.5000 0.5000 0.0000
0.2500 0.7500 0.5000
0.0000 0.0000 0.0000
0.7500 0.2500 0.5000
0.6555 0.1250 0.2500
0.0945 0.6250 0.2500
0.3750 0.3445 0.7500
0.8750 0.9055 0.7500
```

Computed properties:
E_form, kJ/mol of formula units: 254.6
E_tot, eV per atom: -2.403
DOS(E_F), states/eV/cell: 11.46
Distance to the lowest polymorph of the same formula, meV/atom: 168
Space group: I-42d, No. 122

***

VASP calculation (PBE) on a relaxed structure of NaLi2Co2.

The structure in POSCAR format:
```
NaLi2Co2
1.0
7.8338 0.0000 0.0000
0.0000 7.8338 0.0000
0.0000 0.0000 2.4764
Na Co Li
2 4 4
direct
0.0000 0.0000 0.0000
0.5000 0.5000 0.0000
0.3992 0.8992 0.0000
0.8992 0.6008 0.0000
0.6008 0.1008 0.0000
0.1008 0.3992 0.0000
0.1834 0.6834 0.5000
0.6834 0.8166 0.5000
0.8166 0.3166 0.5000
0.3166 0.1834 0.5000
```

Computed properties:
E_form, kJ/mol of formula units: 176.0
E_tot, eV per atom: -3.507
DOS(E_F), states/eV/cell: 8.56
Space group: P4/mbm, No. 127

***

VASP calculation (PBE) on a relaxed structure of Na2LiCo.

The structure in POSCAR format:
```
Na2LiCo
1.0
1.3823 0.4050 4.7776
-3.4596 0.1829 3.5914
-0.5828 -3.8649 3.1022
Na Co Li
2 1 1
direct
0.2500 0.2500 0.2500
0.7500 0.7500 0.7500
0.5000 0.5000 0.5000
0.0000 0.0000 0.0000
```

Computed properties:
E_form, kJ/mol of formula units: 251.2
E_tot, eV per atom: -2.263
DOS(E_F), states/eV/cell: 11.38
Distance to the lowest polymorph of the same formula, meV/atom: 0
Space group: Fm-3m, No. 225

***

VASP calculation (PBE) on a relaxed structure of NaLi2Co.

The structure in POSCAR format:
```
NaLi2Co
1.0
0.0000 3.2892 3.2892
3.2892 0.0000 3.2892
3.2892 3.2892 0.0000
Na Co Li
1 1 2
direct
0.0000 0.0000 0.0000
0.5000 0.5000 0.5000
0.2500 0.2500 0.2500
0.7500 0.7500 0.7500
```

Computed properties:
E_form, kJ/mol of formula units: 189.9
E_tot, eV per atom: -2.571
DOS(E_F), states/eV/cell: 6.52
Distance to the lowest polymorph of the same formula, meV/atom: 0
Space group: Fm-3m, No. 225